P | First-principles (PBE) data for a relaxed Hf2NF crystal, as listed in the Alexandria database.

Values from the calculation:
**Total magnetic moment**: 0.00 μB/f.u.

Cell: 5.8031 5.8031 5.8031 Å, 90.00 90.00 90.00°
Space group Fm-3m (No. 225)
One atom of each set of equivalent atoms:
1 Hf 0.2500 0.2500 0.2500 (multiplicity 8)
2 N 0.0000 0.0000 0.0000 (multiplicity 4)
3 F 0.0000 0.0000 0.5000 (multiplicity 4)

Q | First-principles (PBE) data for a relaxed Hf2NF crystal, as listed in the Alexandria database.

Values from the calculation:
**Total magnetic moment**: 0.00 μB/f.u.

Cell: 5.1031 5.1031 9.9752 Å, 90.00 90.00 90.00°
Space group I-42d (No. 122)
One atom of each set of equivalent atoms:
1 Hf 0.2079 0.2500 0.1250 (multiplicity 8)
2 N 0.0000 0.0000 0.0000 (multiplicity 4)
3 F 0.0000 0.0000 0.5000 (multiplicity 4)

Looking at the structures above, which would you pick as the most stable? I would pick Q.